Ca2ErGa3Pt4 PBE-GGA optimized geometry; energy of formation from the pure elements = -0.93 eV/atom; space group = P-4m2, No. 115
1.0
-1.317 2.214 3.327
-2.147 -3.346 1.377
9.214 -3.464 5.953
Ca Er Ga Pt
2 1 3 4
Cartesian
1.469 0.307 3.038
6.014 -4.338 5.267
2.875 -2.298 5.328
4.607 -1.732 2.977
7.381 -1.916 6.858
0.101 -2.115 1.447
-1.732 -0.566 2.352
0.000 0.000 0.000
5.376 -1.162 5.562
2.107 -2.869 2.743